Entry 1:
Entry from the Alexandria database: a relaxed Tm4CoHg3 crystal (GGA-PBE).

Values from the calculation:
- energy of formation (eV/atom) = -0.40
- crystal system = tetragonal

a b c (Å): 3.502 3.502 15.047
angles (deg): 90.00 90.00 90.00
Last column: magnetic moment on the atom in μB.
Sites, in units of the cell vectors:
Tm 0.000 0.000 0.105  -0.14
Tm 0.000 0.000 0.370  -0.02
Tm 0.000 0.000 0.630  -0.02
Tm 0.000 0.000 0.895  -0.14
Hg 0.500 0.500 0.500  -0.01
Hg 0.500 0.500 0.240  0.00
Hg 0.500 0.500 0.760  0.00
Co 0.500 0.500 0.000  1.01

Entry 2:
Entry from the Alexandria database: a relaxed NdGa4Ir2Os crystal (GGA-PBE).

Values from the calculation:
- energy of formation (eV/atom) = -0.42
- crystal system = trigonal

a b c (Å): 4.271 4.271 9.093
angles (deg): 76.42 76.42 60.00
Sites, in units of the cell vectors:
Ir 0.763 0.763 0.711
Ir 0.237 0.237 0.289
Os 0.500 0.500 0.500
Ga 0.598 0.598 0.206
Ga 0.132 0.132 0.603
Ga 0.868 0.868 0.397
Ga 0.402 0.402 0.794
Nd 0.000 0.000 0.000

- Look up the energy of formation of the second one.
  -0.42 eV/atom